# 1
BaMgHg2Pb | PBE-GGA | optimized geometry

The structure in POSCAR format:
```
BaMgHg2Pb
1.0
5.4427 0.0000 0.0000
0.0000 5.4427 0.0000
0.0000 0.0000 5.6114
Ba Mg Hg Pb
1 1 2 1
direct
0.0000 0.0000 0.0000 Ba
0.5000 0.5000 0.5000 Mg
0.0000 0.5000 0.5000 Hg
0.5000 0.0000 0.5000 Hg
0.5000 0.5000 0.0000 Pb
```

Properties
The calculation puts the density of states at the Fermi level at 0.63 states/eV/atom. Its energy above the most stable polymorph in this dataset is 0.139 eV/atom. As for the symmetry: P4/mmm (123). The value obtained for the total energy is -8.96 eV per cell.


# 2
Pm2PrNpS4 | PBE-GGA | optimized geometry

The structure in POSCAR format:
```
Pm2PrNpS4
1.0
6.9667 0.0000 0.0000
0.0000 4.0153 0.0000
-2.3109 0.0000 6.5903
Pm Pr Np S
2 1 1 4
direct
0.0000 0.0000 0.0000 Pm
0.0000 0.5000 0.5000 Pm
0.5000 0.0000 0.5000 Pr
0.5000 0.5000 0.0000 Np
0.2492 0.5000 0.2428 S
0.2554 0.0000 0.7592 S
0.7446 0.0000 0.2408 S
0.7508 0.5000 0.7572 S
```

Properties
The calculation puts the density of states at the Fermi level at 1.44 states/eV/atom. As for the symmetry: P2/m (10). The value obtained for the total energy is -58.59 eV per cell. The value obtained for the formation energy without anion corrections is -1.857 eV/atom.


# 3
BaAgTe2 | PBE-GGA | optimized geometry

The structure in POSCAR format:
```
BaAgTe2
1.0
6.6130 -2.3625 0.0000
6.6130 2.3625 0.0000
-1.5721 0.0000 4.4328
Ba Ag Te
1 1 2
direct
0.0000 0.0000 0.0000 Ba
0.2504 0.2504 0.7211 Ag
0.3734 0.3734 0.3388 Te
0.6340 0.6340 0.6801 Te
```

Properties
The calculation puts the density of states at the Fermi level at 0.50 states/eV/atom. As for the symmetry: Cm (8). The value obtained for the total energy is -14.36 eV per cell. The value obtained for the formation energy without anion corrections is -0.825 eV/atom.


# 4
Er4Tm7Zr | PBE-GGA | optimized geometry

The structure in POSCAR format:
```
Er4Tm7Zr
1.0
7.8906 -2.8404 0.0000
7.8906 2.8404 0.0000
-4.1548 0.0000 8.1309
Er Tm Zr
4 7 1
direct
0.0767 0.0767 0.1981 Er
0.1755 0.1755 0.8920 Er
0.8245 0.8245 0.1080 Er
0.9233 0.9233 0.8019 Er
0.0000 0.0000 0.5000 Tm
0.2916 0.2916 0.6283 Tm
0.2977 0.2977 0.2782 Tm
0.4267 0.4267 0.0765 Tm
0.5733 0.5733 0.9235 Tm
0.7023 0.7023 0.7218 Tm
0.7084 0.7084 0.3717 Tm
0.5000 0.5000 0.5000 Zr
```

Properties
The calculation puts the density of states at the Fermi level at 1.69 states/eV/atom. Its energy above the most stable polymorph in this dataset is 0.088 eV/atom. As for the symmetry: C2/m (12). The value obtained for the total energy is -54.99 eV per cell.


# 5
KCr3As | PBE-GGA | optimized geometry

The structure in POSCAR format:
```
KCr3As
1.0
5.0856 0.0000 0.0000
0.0000 5.0856 0.0000
0.0000 0.0000 5.0856
K Cr As
1 3 1
direct
0.0000 0.0000 0.0000 K
0.0000 0.5000 0.5000 Cr
0.5000 0.0000 0.5000 Cr
0.5000 0.5000 0.0000 Cr
0.5000 0.5000 0.5000 As
```

Properties
The calculation puts the density of states at the Fermi level at 0.33 states/eV/atom. Its energy above the most stable polymorph in this dataset is 0.000 eV/atom. As for the symmetry: Pm-3m (221). The value obtained for the total energy is -30.43 eV per cell.


# 6
LiLaSmSn | PBE-GGA | optimized geometry

The structure in POSCAR format:
```
LiLaSmSn
1.0
0.0000 3.8326 3.8326
3.8326 0.0000 3.8326
3.8326 3.8326 0.0000
Li La Sm Sn
1 1 1 1
direct
0.0000 0.0000 0.0000 Li
0.7500 0.7500 0.7500 La
0.2500 0.2500 0.2500 Sm
0.5000 0.5000 0.5000 Sn
```

Properties
The calculation puts the density of states at the Fermi level at 0.75 states/eV/atom. As for the symmetry: F-43m (216). The value obtained for the total energy is -17.34 eV per cell.


# 7
LaSb2Au3 | PBE-GGA | optimized geometry

The structure in POSCAR format:
```
LaSb2Au3
1.0
5.4224 0.0000 0.0000
0.0287 6.7821 0.0000
2.0421 3.0619 8.0035
La Sb Au
2 4 6
direct
0.1912 0.1750 0.2082 La
0.8088 0.8250 0.7918 La
0.2067 0.7003 0.1065 Sb
0.4632 0.7857 0.4946 Sb
0.5368 0.2143 0.5054 Sb
0.7933 0.2997 0.8935 Sb
0.0272 0.2766 0.5465 Au
0.2984 0.0968 0.8527 Au
0.3036 0.5337 0.8363 Au
0.6964 0.4663 0.1637 Au
0.7016 0.9032 0.1473 Au
0.9728 0.7234 0.4535 Au
```

Properties
The calculation puts the density of states at the Fermi level at 0.30 states/eV/atom. As for the symmetry: P-1 (2). The value obtained for the total energy is -51.89 eV per cell. The value obtained for the formation energy without anion corrections is -0.490 eV/atom.


# 8
CaReIr2 | PBE-GGA | optimized geometry

The structure in POSCAR format:
```
CaReIr2
1.0
2.8350 0.0000 0.0000
0.0000 4.6705 0.0000
-0.6377 0.0000 4.9866
Ca Re Ir
1 1 2
direct
0.0000 0.0000 0.0000 Ca
0.1912 0.5000 0.6190 Re
0.5357 0.5000 0.1358 Ir
0.5989 0.0000 0.4925 Ir
```

Properties
The calculation puts the density of states at the Fermi level at 0.77 states/eV/atom. Its energy above the most stable polymorph in this dataset is 0.061 eV/atom. As for the symmetry: Pm (6). The value obtained for the total energy is -31.79 eV per cell.


# 9
Pm2Sm3Dy6Tm | PBE-GGA | optimized geometry

The structure in POSCAR format:
```
Pm2Sm3Dy6Tm
1.0
3.0982 -5.3634 0.0000
3.0982 5.3634 0.0000
-2.0580 0.0000 11.6582
Pm Sm Dy Tm
2 3 6 1
direct
0.1664 0.8336 0.0000 Pm
0.8336 0.1664 0.0000 Pm
0.0000 0.0000 0.5000 Sm
0.3334 0.6666 0.5000 Sm
0.6666 0.3334 0.5000 Sm
0.0843 0.4168 0.7508 Dy
0.2509 0.2509 0.2496 Dy
0.4168 0.0843 0.7508 Dy
0.5832 0.9157 0.2492 Dy
0.7491 0.7491 0.7504 Dy
0.9157 0.5832 0.2492 Dy
0.5000 0.5000 0.0000 Tm
```

Properties
The calculation puts the density of states at the Fermi level at 1.24 states/eV/atom. As for the symmetry: C2/m (12). The value obtained for the total energy is -55.57 eV per cell.


# 10
Rb2NbPd | PBE-GGA | optimized geometry

The structure in POSCAR format:
```
Rb2NbPd
1.0
-6.4150 6.4150 2.5517
6.4150 -6.4150 2.5517
6.4150 6.4150 -2.5517
Rb Nb Pd
4 2 2
direct
0.3750 0.0450 0.1700 Rb
0.7950 0.6250 0.6700 Rb
0.8750 0.2050 0.8300 Rb
0.9550 0.1250 0.3300 Rb
0.2500 0.7500 0.5000 Nb
0.5000 0.5000 0.0000 Nb
0.0000 0.0000 0.0000 Pd
0.7500 0.2500 0.5000 Pd
```

Properties
The calculation puts the density of states at the Fermi level at 1.02 states/eV/atom. Its energy above the most stable polymorph in this dataset is 0.000 eV/atom. As for the symmetry: I-42d (122). The value obtained for the total energy is -26.77 eV per cell.


# 11
TaCr2HOs | PBE-GGA | optimized geometry

The structure in POSCAR format:
```
TaCr2HOs
1.0
3.7677 0.0000 0.0000
0.0000 3.7677 0.0000
0.0000 0.0000 4.1702
Ta Cr H Os
1 2 1 1
direct
0.0000 0.0000 0.0000 Ta
0.0000 0.5000 0.5000 Cr
0.5000 0.0000 0.5000 Cr
0.0000 0.0000 0.5000 H
0.5000 0.5000 0.0000 Os
```

Properties
The calculation puts the density of states at the Fermi level at 1.11 states/eV/atom. Its energy above the most stable polymorph in this dataset is 0.000 eV/atom. As for the symmetry: P4/mmm (123). The value obtained for the total energy is -45.29 eV per cell.


# 12
TmScCd2 | PBE-GGA | optimized geometry

The structure in POSCAR format:
```
TmScCd2
1.0
0.0000 3.6186 3.6186
3.6186 0.0000 3.6186
3.6186 3.6186 0.0000
Tm Sc Cd
1 1 2
direct
0.0000 0.0000 0.0000 Tm
0.5000 0.5000 0.5000 Sc
0.2500 0.2500 0.2500 Cd
0.7500 0.7500 0.7500 Cd
```

Properties
The calculation puts the density of states at the Fermi level at 0.82 states/eV/atom. Its energy above the most stable polymorph in this dataset is 0.000 eV/atom. As for the symmetry: Fm-3m (225). The value obtained for the total energy is -13.82 eV per cell.


# 13
Li4InCl | PBE-GGA | optimized geometry

The structure in POSCAR format:
```
Li4InCl
1.0
0.0000 4.0175 4.0175
4.0175 0.0000 4.0175
4.0175 4.0175 0.0000
Li In Cl
4 1 1
direct
0.3761 0.3761 0.3761 Li
0.3761 0.3761 0.8716 Li
0.3761 0.8716 0.3761 Li
0.8716 0.3761 0.3761 Li
0.7500 0.7500 0.7500 In
0.0000 0.0000 0.0000 Cl
```

Properties
The calculation puts the density of states at the Fermi level at 0.37 states/eV/atom. As for the symmetry: F-43m (216). The value obtained for the total energy is -13.21 eV per cell. The value obtained for the formation energy without anion corrections is -0.161 eV/atom.


# 14
Ti3Mn2Pd | PBE-GGA | optimized geometry

The structure in POSCAR format:
```
Ti3Mn2Pd
1.0
3.0235 0.0000 0.0000
0.0000 3.0235 0.0000
0.0000 0.0000 9.1951
Ti Mn Pd
3 2 1
direct
0.0000 0.0000 0.0000 Ti
0.0000 0.0000 0.3120 Ti
0.0000 0.0000 0.6880 Ti
0.5000 0.5000 0.1660 Mn
0.5000 0.5000 0.8340 Mn
0.5000 0.5000 0.5000 Pd
```

Properties
The calculation puts the density of states at the Fermi level at 0.50 states/eV/atom. As for the symmetry: P4/mmm (123). The value obtained for the total energy is -49.72 eV per cell.


# 15
LiGeP | PBE-GGA | optimized geometry

The structure in POSCAR format:
```
LiGeP
1.0
1.8323 -7.2986 0.0000
1.8323 7.2986 0.0000
0.0000 0.0000 4.4731
Li Ge P
2 2 2
direct
0.2206 0.7794 0.7500 Li
0.7794 0.2206 0.2500 Li
0.4534 0.5466 0.7500 Ge
0.5466 0.4534 0.2500 Ge
0.1476 0.8524 0.2500 P
0.8524 0.1476 0.7500 P
```

Properties
The calculation puts the density of states at the Fermi level at 0.13 states/eV/atom. Its energy above the most stable polymorph in this dataset is 0.006 eV/atom. As for the symmetry: Cmcm (63). The value obtained for the total energy is -25.77 eV per cell.


# 16
LiZr2Os | PBE-GGA | optimized geometry

The structure in POSCAR format:
```
LiZr2Os
1.0
-3.6746 3.6746 2.8891
3.6746 -3.6746 2.8891
3.6746 3.6746 -2.8891
Li Zr Os
2 4 2
direct
0.0000 0.0000 0.0000 Li
0.7500 0.2500 0.5000 Li
0.1421 0.6250 0.0171 Zr
0.3750 0.3921 0.5171 Zr
0.6079 0.1250 0.9829 Zr
0.8750 0.8579 0.4829 Zr
0.2500 0.7500 0.5000 Os
0.5000 0.5000 0.0000 Os
```

Properties
The calculation puts the density of states at the Fermi level at 0.87 states/eV/atom. Its energy above the most stable polymorph in this dataset is 0.586 eV/atom. As for the symmetry: I-42d (122). The value obtained for the total energy is -58.34 eV per cell.


# 17
Na2YTaS | PBE-GGA | optimized geometry

The structure in POSCAR format:
```
Na2YTaS
1.0
5.5360 0.0000 0.0000
0.0000 5.5360 0.0000
0.0000 0.0000 5.3961
Na Y Ta S
2 1 1 1
direct
0.0000 0.5000 0.0000 Na
0.5000 0.0000 0.0000 Na
0.0000 0.0000 0.5000 Y
0.0000 0.0000 0.0000 Ta
0.5000 0.5000 0.5000 S
```

Properties
The calculation puts the density of states at the Fermi level at 1.07 states/eV/atom. As for the symmetry: P4/mmm (123). The value obtained for the total energy is -18.71 eV per cell. The value obtained for the formation energy without anion corrections is 1.275 eV/atom.


# 18
Ca7Bi3O2 | PBE-GGA | optimized geometry

The structure in POSCAR format:
```
Ca7Bi3O2
1.0
2.4199 -13.5729 0.0000
2.4199 13.5729 0.0000
0.0000 0.0000 4.6997
Ca Bi O
7 3 2
direct
0.0000 0.0000 0.0000 Ca
0.0959 0.9041 0.5000 Ca
0.1992 0.8008 0.0000 Ca
0.4060 0.5940 0.0000 Ca
0.5940 0.4060 0.0000 Ca
0.8008 0.1992 0.0000 Ca
0.9041 0.0959 0.5000 Ca
0.3167 0.6833 0.5000 Bi
0.5000 0.5000 0.5000 Bi
0.6833 0.3167 0.5000 Bi
0.0873 0.9127 0.0000 O
0.9127 0.0873 0.0000 O
```

Properties
The calculation puts the density of states at the Fermi level at 0.24 states/eV/atom. As for the symmetry: Cmmm (65). The value obtained for the total energy is -53.33 eV per cell. The value obtained for the formation energy without anion corrections is -1.480 eV/atom.


# 19
Tm5Ge2Se2 | PBE-GGA | optimized geometry

The structure in POSCAR format:
```
Tm5Ge2Se2
1.0
7.1781 -3.7715 0.0000
7.1781 3.7715 0.0000
0.0000 0.0000 7.6271
Tm Ge Se
10 4 4
direct
0.0000 0.0000 0.0000 Tm
0.0296 0.7034 0.6601 Tm
0.2034 0.5296 0.1601 Tm
0.2966 0.9704 0.6601 Tm
0.4704 0.7966 0.1601 Tm
0.5000 0.5000 0.5000 Tm
0.5296 0.2034 0.8399 Tm
0.7034 0.0296 0.3399 Tm
0.7966 0.4704 0.8399 Tm
0.9704 0.2966 0.3399 Tm
0.1401 0.8599 0.3608 Ge
0.3599 0.6401 0.8608 Ge
0.6401 0.3599 0.1392 Ge
0.8599 0.1401 0.6392 Ge
0.2003 0.2003 0.0000 Se
0.2997 0.2997 0.5000 Se
0.7003 0.7003 0.5000 Se
0.7997 0.7997 0.0000 Se
```

Properties
The calculation puts the density of states at the Fermi level at 0.79 states/eV/atom. As for the symmetry: Cmce (64). The value obtained for the total energy is -97.55 eV per cell. The value obtained for the formation energy without anion corrections is -1.135 eV/atom.


# 20
Ac2GaCu3 | PBE-GGA | optimized geometry

The structure in POSCAR format:
```
Ac2GaCu3
1.0
4.0892 0.0000 0.0000
0.0000 4.4640 0.0000
0.0000 0.0000 7.7480
Ac Ga Cu
2 1 3
direct
0.0000 0.0000 0.0000 Ac
0.0000 0.5000 0.4845 Ac
0.5000 0.5000 0.8196 Ga
0.5000 0.0000 0.3279 Cu
0.5000 0.0000 0.6608 Cu
0.5000 0.5000 0.1566 Cu
```

Properties
The calculation puts the density of states at the Fermi level at 0.69 states/eV/atom. Its energy above the most stable polymorph in this dataset is 0.000 eV/atom. As for the symmetry: Pmm2 (25). The value obtained for the total energy is -25.25 eV per cell.


# 21
ScPaSiTc | PBE-GGA | optimized geometry

The structure in POSCAR format:
```
ScPaSiTc
1.0
0.0000 3.2972 3.2972
3.2972 0.0000 3.2972
3.2972 3.2972 0.0000
Sc Pa Si Tc
1 1 1 1
direct
0.0000 0.0000 0.0000 Sc
0.7500 0.7500 0.7500 Pa
0.2500 0.2500 0.2500 Si
0.5000 0.5000 0.5000 Tc
```

Properties
The calculation puts the density of states at the Fermi level at 0.82 states/eV/atom. As for the symmetry: F-43m (216). The value obtained for the total energy is -32.81 eV per cell. The value obtained for the formation energy without anion corrections is -0.298 eV/atom.


# 22
Np2CoRu | PBE-GGA | optimized geometry

The structure in POSCAR format:
```
Np2CoRu
1.0
3.2748 0.0000 0.0000
0.0000 3.2748 0.0000
0.0000 0.0000 6.7962
Np Co Ru
2 1 1
direct
0.0000 0.0000 0.2380 Np
0.0000 0.0000 0.7620 Np
0.5000 0.5000 0.0000 Co
0.5000 0.5000 0.5000 Ru
```

Properties
The calculation puts the density of states at the Fermi level at 1.95 states/eV/atom. As for the symmetry: P4/mmm (123). The value obtained for the total energy is -41.80 eV per cell.


# 23
PmGdScIr | PBE-GGA | optimized geometry

The structure in POSCAR format:
```
PmGdScIr
1.0
0.0000 3.6061 3.6061
3.6061 0.0000 3.6061
3.6061 3.6061 0.0000
Pm Gd Sc Ir
1 1 1 1
direct
0.0000 0.0000 0.0000 Pm
0.5000 0.5000 0.5000 Gd
0.2500 0.2500 0.2500 Sc
0.7500 0.7500 0.7500 Ir
```

Properties
The calculation puts the density of states at the Fermi level at 1.24 states/eV/atom. As for the symmetry: F-43m (216). The value obtained for the total energy is -34.75 eV per cell.


# 24
VCrFeNi | PBE-GGA | optimized geometry

The structure in POSCAR format:
```
VCrFeNi
1.0
0.0000 2.8603 2.8603
2.8603 0.0000 2.8603
2.8603 2.8603 0.0000
V Cr Fe Ni
1 1 1 1
direct
0.0000 0.0000 0.0000 V
0.7500 0.7500 0.7500 Cr
0.5000 0.5000 0.5000 Fe
0.2500 0.2500 0.2500 Ni
```

Properties
The calculation puts the density of states at the Fermi level at 1.90 states/eV/atom. As for the symmetry: F-43m (216). The value obtained for the total energy is -32.73 eV per cell.


# 25
PrMg3Zn3 | PBE-GGA | optimized geometry

The structure in POSCAR format:
```
PrMg3Zn3
1.0
8.5123 0.0000 0.0000
0.0000 4.7599 0.0000
-4.2551 0.0000 7.3872
Pr Mg Zn
2 6 6
direct
0.1661 0.2500 0.3330 Pr
0.8339 0.7500 0.6670 Pr
0.2504 0.2500 0.7721 Mg
0.2729 0.7500 0.0222 Mg
0.4782 0.7500 0.7503 Mg
0.5218 0.2500 0.2497 Mg
0.7271 0.2500 0.9778 Mg
0.7496 0.7500 0.2279 Mg
0.0283 0.2500 0.9234 Zn
0.1051 0.7500 0.5277 Zn
0.4231 0.7500 0.3953 Zn
0.5769 0.2500 0.6047 Zn
0.8949 0.2500 0.4723 Zn
0.9717 0.7500 0.0766 Zn
```

Properties
The calculation puts the density of states at the Fermi level at 0.57 states/eV/atom. As for the symmetry: P2_1/m (11). The value obtained for the total energy is -28.81 eV per cell.